Record 1
# Sc2GeF

A geometry-optimized Sc2GeF structure (PBE, the Alexandria database).

Values from the calculation:
* density: 3.586 Mg/m³
* energy relative to the lowest polymorph listed for this composition: 0.370 eV/atom

Lattice parameters (Å, degrees): 6.948 6.948 6.948 134.47 134.47 66.36
Atoms (fractional coordinates):
Sc  0.062  0.625  0.936
Sc  0.375  0.312  0.436
Sc  0.688  0.125  0.064
Sc  0.875  0.938  0.564
Ge  0.250  0.750  0.500
Ge  0.500  0.500  0.000
F  0.000  0.000  0.000
F  0.750  0.250  0.500


Record 2
# ScGeF6

A geometry-optimized ScGeF6 structure (PBE, the Alexandria database).

Values from the calculation:
* density: 3.372 Mg/m³

Lattice parameters (Å, degrees): 5.111 5.111 5.147 96.55 96.55 119.47
Atoms (fractional coordinates):
Sc  0.000  0.000  0.000
Ge  0.500  0.500  0.500
F  0.112  0.400  0.252
F  0.249  0.249  0.745
F  0.400  0.112  0.252
F  0.600  0.888  0.748
F  0.751  0.751  0.255
F  0.888  0.600  0.748


Record 3
# ScGe2F

A geometry-optimized ScGe2F structure (PBE, the Alexandria database).

Values from the calculation:
* density: 5.011 Mg/m³
* energy relative to the lowest polymorph listed for this composition: 0.000 eV/atom

Lattice parameters (Å, degrees): 11.162 11.162 11.162 161.59 161.59 26.15
Atoms (fractional coordinates):
Sc  0.000  0.000  0.000
Sc  0.750  0.250  0.500
Ge  0.120  0.625  0.995
Ge  0.375  0.370  0.495
Ge  0.630  0.125  0.005
Ge  0.875  0.880  0.505
F  0.250  0.750  0.500
F  0.500  0.500  0.000


Record 4
# ScGeF2

A geometry-optimized ScGeF2 structure (PBE, the Alexandria database).

Values from the calculation:
* density: 3.370 Mg/m³
* energy relative to the lowest polymorph listed for this composition: 0.000 eV/atom

Lattice parameters (Å, degrees): 9.830 9.830 9.830 17.70 17.70 17.70
Atoms (fractional coordinates):
Sc  0.000  0.000  0.000
Ge  0.500  0.500  0.500
F  0.376  0.376  0.376
F  0.624  0.624  0.624


Record 5
# ScGeF2

A geometry-optimized ScGeF2 structure (PBE, the Alexandria database).

Values from the calculation:
* density: 3.684 Mg/m³
* energy relative to the lowest polymorph listed for this composition: 0.416 eV/atom

Lattice parameters (Å, degrees): 8.393 8.393 8.393 21.59 21.59 21.59
Atoms (fractional coordinates):
Sc  0.000  0.000  0.000
Ge  0.500  0.500  0.500
F  0.080  0.080  0.080
F  0.920  0.920  0.920


Record 6
# ScGe2F

A geometry-optimized ScGe2F structure (PBE, the Alexandria database).

Values from the calculation:
* density: 4.908 Mg/m³
* energy relative to the lowest polymorph listed for this composition: 0.453 eV/atom

Lattice parameters (Å, degrees): 4.643 4.643 4.643 60.00 60.00 60.00
Atoms (fractional coordinates):
Sc  0.000  0.000  0.000
Ge  0.250  0.250  0.250
Ge  0.750  0.750  0.750
F  0.500  0.500  0.500


Let's list calculated volume in order: 168.14; 114.05; 138.68; 76.66; 70.13; 70.79 Å³ per cell.
Let's list uncorrected energy in order: -6.007; -5.683; -5.290; -5.793; -5.377; -4.837 eV/atom.
Let's list E_form (uncorrected) in order: -4.88; -23.28; -3.72; -8.48; -6.82; -1.91 eV per formula unit.